# Be2RuPt (PBE-GGA, relaxed)
data_Be2RuPt
_chemical_formula_sum 'Be2 Ru1 Pt1'
_cell_length_a 4.0084
_cell_length_b 4.0084
_cell_length_c 2.7748
_cell_angle_alpha 90.00
_cell_angle_beta 90.00
_cell_angle_gamma 90.00
_space_group_name_H-M_alt 'P 4/m m m'
_space_group_IT_number 123
_space_group_name_Hall '-P 4 2'
loop_
_atom_site_label
_atom_site_fract_x
_atom_site_fract_y
_atom_site_fract_z
Be1 0.0000 0.5000 0.0000
Ru1 0.0000 0.0000 0.5000
Pt1 0.5000 0.5000 0.5000
# formation energy from the elements = -509 meV/atom
# calculated density = 11.70 Mg/m³
# volume = 11.15 Å³ per atom

=====

# Sr2MgCd3 (PBE-GGA, relaxed)
data_Sr2MgCd3
_chemical_formula_sum 'Sr4 Mg2 Cd6'
_cell_length_a 6.3937
_cell_length_b 6.3937
_cell_length_c 9.7908
_cell_angle_alpha 90.00
_cell_angle_beta 90.00
_cell_angle_gamma 120.00
_space_group_name_H-M_alt 'P 63/m m c'
_space_group_IT_number 194
_space_group_name_Hall '-P 6c 2c'
loop_
_atom_site_label
_atom_site_fract_x
_atom_site_fract_y
_atom_site_fract_z
Sr1 0.3333 0.6667 0.0594
Mg1 0.0000 0.0000 0.0000
Cd1 0.1688 0.3377 0.7500
# formation energy from the elements = -281 meV/atom
# calculated density = 5.14 Mg/m³
# volume = 28.89 Å³ per atom

=====

# Ga2HgPb2 (PBE-GGA, relaxed)
data_Ga2HgPb2
_chemical_formula_sum 'Ga4 Hg2 Pb4'
_cell_length_a 4.9451
_cell_length_b 4.9451
_cell_length_c 11.6126
_cell_angle_alpha 90.00
_cell_angle_beta 90.00
_cell_angle_gamma 90.00
_space_group_name_H-M_alt 'I 4/m m m'
_space_group_IT_number 139
_space_group_name_Hall '-I 4 2'
loop_
_atom_site_label
_atom_site_fract_x
_atom_site_fract_y
_atom_site_fract_z
Ga1 0.0000 0.0000 0.1074
Hg1 0.0000 0.0000 0.5000
Pb1 0.0000 0.5000 0.2500
# formation energy from the elements = 130 meV/atom
# calculated density = 8.82 Mg/m³
# volume = 28.40 Å³ per atom

=====

# SrFe2Se (PBE-GGA, relaxed)
data_SrFe2Se
_chemical_formula_sum 'Sr4 Fe8 Se4'
_cell_length_a 4.6968
_cell_length_b 4.6968
_cell_length_c 16.2643
_cell_angle_alpha 90.00
_cell_angle_beta 90.00
_cell_angle_gamma 90.00
_space_group_name_H-M_alt 'I 41/a m d'
_space_group_IT_number 141
loop_
_space_group_symop_operation_xyz
'x,y,z'
'-x,-y,-z'
'-y+1/4,x+3/4,z+1/4'
'y+1/4,-x+3/4,-z+1/4'
'-x+1/2,-y,z+1/2'
'x+1/2,y,-z+1/2'
'y+1/4,-x+1/4,z+3/4'
'-y+1/4,x+1/4,-z+3/4'
'x,-y,-z'
'-x,y,z'
'-y+1/4,-x+1/4,-z+3/4'
'y+1/4,x+1/4,z+3/4'
'-x+1/2,y,-z+1/2'
'x+1/2,-y,z+1/2'
'y+1/4,x+3/4,-z+1/4'
'-y+1/4,-x+3/4,z+1/4'
'x+1/2,y+1/2,z+1/2'
'-x+1/2,-y+1/2,-z+1/2'
'-y+3/4,x+1/4,z+3/4'
'y+3/4,-x+1/4,-z+3/4'
'-x,-y+1/2,z'
'x,y+1/2,-z'
'y+3/4,-x+3/4,z+1/4'
'-y+3/4,x+3/4,-z+1/4'
'x+1/2,-y+1/2,-z+1/2'
'-x+1/2,y+1/2,z+1/2'
'-y+3/4,-x+3/4,-z+1/4'
'y+3/4,x+3/4,z+1/4'
'-x,y+1/2,-z'
'x,-y+1/2,z'
'y+3/4,x+1/4,-z+3/4'
'-y+3/4,-x+1/4,z+3/4'
loop_
_atom_site_label
_atom_site_fract_x
_atom_site_fract_y
_atom_site_fract_z
Sr1 0.0000 0.2500 0.3750
Fe1 0.0000 0.0000 0.0000
Se1 0.0000 0.2500 0.8750
# calculated density = 5.15 Mg/m³
# volume = 22.42 Å³ per atom
# ΔE_f (raw) = 0.107 eV per formula unit

=====

# Pr3Er5O12 (PBE-GGA, relaxed)
data_Pr3Er5O12
_chemical_formula_sum 'Pr24 Er40 O96'
_cell_length_a 13.6395
_cell_length_b 13.6395
_cell_length_c 13.6395
_cell_angle_alpha 90.00
_cell_angle_beta 90.00
_cell_angle_gamma 90.00
_space_group_name_H-M_alt 'I a -3 d'
_space_group_IT_number 230
_space_group_name_Hall '-I 4bd 2c 3'
loop_
_atom_site_label
_atom_site_fract_x
_atom_site_fract_y
_atom_site_fract_z
Pr1 0.0000 0.2500 0.1250
Er1 0.0000 0.0000 0.0000
Er2 0.0000 0.2500 0.3750
O1 0.0233 0.0616 0.6520
# calculated density = 7.60 Mg/m³
# volume = 15.86 Å³ per atom
# ΔE_f (raw) = -67.685 eV per formula unit

=====

# Hf2BeBiRh (PBE-GGA, relaxed)
data_Hf2BeBiRh
_chemical_formula_sum 'Hf2 Be1 Bi1 Rh1'
_cell_length_a 4.6455
_cell_length_b 4.6455
_cell_length_c 4.5233
_cell_angle_alpha 90.00
_cell_angle_beta 90.00
_cell_angle_gamma 90.00
_space_group_name_H-M_alt 'P 4/m m m'
_space_group_IT_number 123
_space_group_name_Hall '-P 4 2'
loop_
_atom_site_label
_atom_site_fract_x
_atom_site_fract_y
_atom_site_fract_z
Hf1 0.0000 0.5000 0.0000
Be1 0.0000 0.0000 0.0000
Bi1 0.0000 0.0000 0.5000
Rh1 0.5000 0.5000 0.5000
# formation energy from the elements = 437 meV/atom
# calculated density = 11.53 Mg/m³
# volume = 19.52 Å³ per atom